Entry from Alexandria via LeMat-Bulk: an optimized crystal structure of TePS3 (PBE).

Values from the calculation:
The calculation puts the total energy at -3.0542 eV per atom. The energy relative to the lowest polymorph listed for this composition is 1177.2 meV per atom. Its space group is Pm-3m (221).

Cell lengths 5.0288, 5.0288, 5.0288 Å; angles 90.00, 90.00, 90.00 degrees
Closest atoms and distances in Å follow each position.
Atoms (fractional coordinates):
1 P 0.5000 0.5000 0.5000  12 S 3.56
2 S 0.5000 0.0000 0.0000  2 Te 2.51
3 S 0.0000 0.0000 0.5000  2 Te 2.51
4 S 0.0000 0.5000 0.0000  2 Te 2.51
5 Te 0.0000 0.0000 0.0000  6 S 2.51

***

Entry from Alexandria via LeMat-Bulk: an optimized crystal structure of Pa4As2OsSe (PBE).

Values from the calculation:
The calculation puts the total energy at -8.6530 eV per atom. Its space group is P2/m (10).

Cell lengths 3.9822, 7.1301, 7.1215 Å; angles 71.37, 90.00, 90.00 degrees
Closest atoms and distances in Å follow each position.
Atoms (fractional coordinates):
1 As 0.5000 0.0000 0.5000  6 Pa 2.87-2.88
2 As 0.0000 0.0000 0.0000  6 Pa 2.98
3 Se 0.5000 0.5000 0.0000  6 Pa 2.89-2.91
4 Pa 0.0000 0.7440 0.7409  1 Os 2.81, 3 As 2.87-2.98, 2 Se 2.89
5 Pa 0.5000 0.2661 0.7317  2 Os 2.78, 3 As 2.88-2.98, 1 Se 2.91
6 Pa 0.5000 0.7339 0.2683  2 Os 2.78, 3 As 2.88-2.98, 1 Se 2.91
7 Pa 0.0000 0.2560 0.2591  1 Os 2.81, 3 As 2.87-2.98, 2 Se 2.89
8 Os 0.0000 0.5000 0.5000  6 Pa 2.78-2.81

***

Entry from Alexandria via LeMat-Bulk: an optimized crystal structure of Y2Th2Al4Cu (PBE).

Values from the calculation:
The calculation puts the total energy at -5.3735 eV per atom. The formation energy comes out at -0.170 eV/atom. Its space group is I4/mmm (139).

Cell lengths 6.6230, 6.6230, 6.6230 Å; angles 96.07, 116.56, 116.56 degrees
Closest atoms and distances in Å follow each position.
Atoms (fractional coordinates):
1 Al 0.5219 0.7610 0.7610  1 Cu 2.35
2 Al 0.4781 0.2390 0.2390  1 Cu 2.35
3 Al 0.0000 0.2390 0.7610  1 Cu 2.35
4 Al 0.0000 0.7610 0.2390  1 Cu 2.35
5 Th 0.5000 0.7500 0.2500  8 Al 3.31, 4 Y 3.52
6 Th 0.5000 0.2500 0.7500  8 Al 3.31, 4 Y 3.52
7 Y 0.0000 0.6935 0.6935  1 Cu 2.71
8 Y 0.0000 0.3065 0.3065  1 Cu 2.71
9 Cu 0.0000 0.0000 0.0000  4 Al 2.35